The following is a DFT calculation (PBE) of Pm2HoCd after structural relaxation. Values from VASP.

Structure (Quantum ESPRESSO input):
```
&SYSTEM
  ibrav = 0, nat = 4, ntyp = 3
/
ATOMIC_SPECIES
Pm 145.00 Pm.upf
Ho 164.93 Ho.upf
Cd 112.41 Cd.upf
ATOMIC_POSITIONS angstrom
Pm 0.0000 0.0000 3.2947
Pm 0.0000 0.0000 33.6817
Ho 0.0000 0.0000 18.4882
Cd 0.0000 0.0000 0.0000
CELL_PARAMETERS angstrom
1.7532 1.0122 12.3255
-1.7532 1.0122 12.3255
0.0000 -2.0245 12.3255
```

Output
Its energy above the most stable polymorph in this dataset is 0.295 eV per atom. The magnetization comes out at 0.000 μB per formula unit. As for the density: 7.18 g/cm³. The space group is R-3m (166).



The following is a DFT calculation (PBE) of RbTmSe4 after structural relaxation. Values from VASP.

Structure (Quantum ESPRESSO input):
```
&SYSTEM
  ibrav = 0, nat = 12, ntyp = 3
/
ATOMIC_SPECIES
Rb 85.47 Rb.upf
Tm 168.93 Tm.upf
Se 78.96 Se.upf
ATOMIC_POSITIONS angstrom
Rb 1.5632 1.5632 0.0000
Rb 4.6896 4.6896 0.0000
Tm 1.5632 1.5632 4.3370
Tm 4.6896 4.6896 4.3370
Se 0.7005 3.8269 2.6410
Se 0.7005 5.5523 6.0330
Se 2.4259 3.8269 6.0330
Se 2.4259 5.5523 2.6410
Se 3.8269 0.7005 6.0330
Se 3.8269 2.4259 2.6410
Se 5.5523 0.7005 2.6410
Se 5.5523 2.4259 6.0330
CELL_PARAMETERS angstrom
6.2528 0.0000 0.0000
0.0000 6.2528 0.0000
0.0000 0.0000 8.6740
```

Output
The value obtained for the uncorrected formation energy is -1139 meV/atom. The magnetization comes out at 0.000 μB per formula unit. As for the density: 5.58 g/cm³. The space group is P4/nbm (125).



The following is a DFT calculation (PBE) of Li2ZnRhF8 after structural relaxation. Values from VASP.

Structure (Quantum ESPRESSO input):
```
&SYSTEM
  ibrav = 0, nat = 12, ntyp = 4
/
ATOMIC_SPECIES
Li 6.94 Li.upf
Zn 65.41 Zn.upf
Rh 102.91 Rh.upf
F 19.00 F.upf
ATOMIC_POSITIONS angstrom
Li 0.0000 1.4710 0.0000
Li 0.0000 4.9345 0.0000
Zn 2.2178 0.0000 2.3556
Rh 2.2178 3.2027 2.3556
F 0.9024 3.2027 0.9482
F 0.9060 0.0000 0.9551
F 1.2540 1.7416 3.2567
F 1.2540 4.6639 3.2567
F 3.1816 1.7416 1.4545
F 3.1816 4.6639 1.4545
F 3.5296 0.0000 3.7560
F 3.5332 3.2027 3.7630
CELL_PARAMETERS angstrom
4.7103 0.0000 0.0000
0.0000 6.4055 0.0000
-0.2747 0.0000 4.7111
```

Output
The value obtained for the uncorrected formation energy is -2191 meV/atom. The magnetization comes out at 1.029 μB per formula unit. As for the density: 3.90 g/cm³. The space group is P2/m (10).



The following is a DFT calculation (PBE) of ZrMn2TcC after structural relaxation. Values from VASP.

Structure (Quantum ESPRESSO input):
```
&SYSTEM
  ibrav = 0, nat = 5, ntyp = 4
/
ATOMIC_SPECIES
Zr 91.22 Zr.upf
Mn 54.94 Mn.upf
Tc 98.00 Tc.upf
C 12.01 C.upf
ATOMIC_POSITIONS angstrom
Zr 0.0000 0.0000 0.0000
Mn 0.0000 1.9600 2.0951
Mn 1.9600 0.0000 2.0951
Tc 1.9600 1.9600 0.0000
C 1.9600 1.9600 2.0951
CELL_PARAMETERS angstrom
3.9200 0.0000 0.0000
0.0000 3.9200 0.0000
0.0000 0.0000 4.1902
```

Output
The magnetization comes out at 2.721 μB per formula unit. As for the density: 8.02 g/cm³. The value obtained for the energy is -9.4549 eV/atom. The space group is P4/mmm (123).



The following is a DFT calculation (PBE) of SrFe2Ni after structural relaxation. Values from VASP.

Structure (Quantum ESPRESSO input):
```
&SYSTEM
  ibrav = 0, nat = 4, ntyp = 3
/
ATOMIC_SPECIES
Sr 87.62 Sr.upf
Fe 55.84 Fe.upf
Ni 58.69 Ni.upf
ATOMIC_POSITIONS angstrom
Sr 0.0000 0.0000 0.0000
Fe 1.9219 0.0000 2.3162
Fe 0.0000 1.9219 2.3162
Ni 0.0000 0.0000 4.6323
CELL_PARAMETERS angstrom
-1.9219 1.9219 4.6323
1.9219 -1.9219 4.6323
1.9219 1.9219 -4.6323
```

Output
The magnetization comes out at 5.914 μB per formula unit. As for the density: 6.26 g/cm³. The value obtained for the energy is -5.3686 eV/atom. The space group is I4/mmm (139).



The following is a DFT calculation (PBE) of CeScInSn after structural relaxation. Values from VASP.

Structure (Quantum ESPRESSO input):
```
&SYSTEM
  ibrav = 0, nat = 4, ntyp = 4
/
ATOMIC_SPECIES
Ce 140.12 Ce.upf
Sc 44.96 Sc.upf
In 114.82 In.upf
Sn 118.71 Sn.upf
ATOMIC_POSITIONS angstrom
Ce 0.0000 0.0000 0.0000
Sc 3.7219 3.7219 3.7219
In 1.8609 1.8609 1.8609
Sn 5.5828 5.5828 5.5828
CELL_PARAMETERS angstrom
0.0000 3.7219 3.7219
3.7219 0.0000 3.7219
3.7219 3.7219 0.0000
```

Output
The magnetization comes out at 1.049 μB per formula unit. As for the density: 6.74 g/cm³. The value obtained for the energy is -5.1854 eV/atom. The space group is F-43m (216).



The following is a DFT calculation (PBE) of K2CdSnSb2 after structural relaxation. Values from VASP.

Structure (Quantum ESPRESSO input):
```
&SYSTEM
  ibrav = 0, nat = 12, ntyp = 4
/
ATOMIC_SPECIES
K 39.10 K.upf
Cd 112.41 Cd.upf
Sn 118.71 Sn.upf
Sb 121.76 Sb.upf
ATOMIC_POSITIONS angstrom
K 1.8109 2.6131 0.0000
K 1.8109 -2.6131 3.7924
K 1.8747 10.4208 0.0000
K 1.8747 5.1947 3.7924
Cd 0.0000 0.0000 1.8962
Cd 0.0000 0.0000 5.6886
Sn 3.6856 0.0000 1.8962
Sn 0.0000 7.8077 1.8962
Sb 5.5829 1.5360 0.0000
Sb 1.8973 6.2717 0.0000
Sb 1.7883 1.5360 3.7924
Sb -1.8973 6.2717 3.7924
CELL_PARAMETERS angstrom
-3.6856 7.8077 3.7924
3.6856 -7.8077 3.7924
3.6856 7.8077 -3.7924
```

Output
The value obtained for the uncorrected formation energy is -311 meV/atom. The magnetization comes out at 0.000 μB per formula unit. As for the density: 4.21 g/cm³. The space group is Ibam (72).



The following is a DFT calculation (PBE) of TlOs2N after structural relaxation. Values from VASP.

Structure (Quantum ESPRESSO input):
```
&SYSTEM
  ibrav = 0, nat = 8, ntyp = 3
/
ATOMIC_SPECIES
Tl 204.38 Tl.upf
Os 190.23 Os.upf
N 14.01 N.upf
ATOMIC_POSITIONS angstrom
Tl 0.0000 0.0000 0.0000
Tl 0.0000 3.2639 1.4818
Os 1.6320 2.4720 -0.7409
Os 4.0558 1.6320 0.7409
Os 1.6320 0.7919 2.2226
Os -0.7919 1.6320 3.7044
N 3.2639 0.0000 1.4818
N 0.0000 0.0000 2.9635
CELL_PARAMETERS angstrom
-3.2639 3.2639 2.9635
3.2639 -3.2639 2.9635
3.2639 3.2639 -2.9635
```

Output
The value obtained for the uncorrected formation energy is 851 meV/atom. Its energy above the most stable polymorph in this dataset is 0.000 eV per atom. The magnetization comes out at 0.000 μB per formula unit. As for the density: 15.75 g/cm³. The space group is I-42d (122).